(1)
Entry from the Alexandria database: a relaxed structure of NaZrPdO4 (GGA-PBE).

Properties
**Crystal system**: orthorhombic
**SG**: No. 74

The structure in POSCAR format:
```
NaZrPdO4
1.0
6.3577 0.0000 0.0000
-3.1789 5.7690 -0.2892
0.0000 -3.3713 5.5443
O Na Pd Zr
8 2 2 2
direct
0.2823 0.9908 0.2454
0.7085 0.9908 0.2454
0.2915 0.0092 0.7546
0.7264 0.4528 0.6823
0.2736 0.5472 0.3177
0.7177 0.0092 0.7546
0.2736 0.5472 0.7295
0.7264 0.4528 0.2705
0.1356 0.2712 0.8856
0.8644 0.7288 0.1144
0.0000 0.5000 0.5000
0.5000 0.5000 0.5000
0.5000 0.0000 0.5000
0.5000 0.0000 0.0000
```

=====

(2)
Entry from the Alexandria database: a relaxed structure of Na4ZrPd3O8 (GGA-PBE).

Properties
**Crystal system**: monoclinic
**SG**: No. 12

The structure in POSCAR format:
```
Na4ZrPd3O8
1.0
-0.0009 5.0855 3.3422
1.3173 -3.3612 5.1148
4.6106 -0.0588 -5.4496
Na O Pd Zr
4 8 3 1
direct
0.5000 0.0000 0.0000
0.0000 0.0000 0.5000
0.0000 0.0000 0.0000
0.5000 0.0000 0.5000
0.2904 0.7617 0.0752
0.8022 0.3549 0.6044
0.7096 0.2383 0.9248
0.2151 0.2383 0.9248
0.1978 0.6451 0.3956
0.7849 0.7617 0.0752
0.3117 0.3749 0.6233
0.6883 0.6251 0.3767
0.5000 0.5000 0.5000
0.0000 0.5000 0.5000
0.5000 0.5000 0.0000
0.0000 0.5000 0.0000
```

=====

(3)
Entry from the Alexandria database: a relaxed structure of NaPm5O8 (GGA-PBE).

Properties
**Crystal system**: tetragonal
**SG**: No. 82

The structure in POSCAR format:
```
NaPm5O8
1.0
6.3326 0.0423 -0.0727
-2.1029 5.9734 0.0727
-2.1268 -2.9994 5.1564
O Pm Na
8 5 1
direct
0.1227 0.7630 0.5019
0.9799 0.1055 0.7359
0.6304 0.8945 0.8744
0.7389 0.2370 0.3597
0.4981 0.6208 0.2611
0.1256 0.7560 0.0201
0.2641 0.2440 0.3696
0.6403 0.3792 0.8773
0.8724 0.8947 0.2615
0.0223 0.3891 0.1276
0.5000 0.0000 0.5000
0.3668 0.1053 0.9777
0.7385 0.6109 0.6332
0.2500 0.5000 0.7500
```

=====

(4)
Entry from the Alexandria database: a relaxed structure of NaPm6O8 (GGA-PBE).

Properties
**Crystal system**: trigonal
**SG**: No. 148

The structure in POSCAR format:
```
NaPm6O8
1.0
-0.7229 5.6328 -4.2236
-4.9514 4.8597 1.3988
1.4814 6.1008 1.9529
O Pm Na
8 6 1
direct
0.0927 0.3627 0.7319
0.3627 0.8126 0.7319
0.6373 0.1874 0.2681
0.6737 0.6737 0.9790
0.9073 0.6373 0.2681
0.1874 0.9073 0.2681
0.8126 0.0927 0.7319
0.3263 0.3263 0.0210
0.2964 0.5351 0.2546
0.5351 0.9138 0.2546
0.9138 0.2964 0.2546
0.4649 0.0862 0.7454
0.0862 0.7036 0.7454
0.7036 0.4649 0.7454
0.0000 0.0000 0.0000
```

=====

(5)
Entry from the Alexandria database: a relaxed structure of NaPm2O (GGA-PBE).

Properties
**Crystal system**: trigonal
**SG**: No. 166

The structure in POSCAR format:
```
NaPm2O
1.0
-2.6219 -1.9429 1.5895
-0.8288 -3.3021 -1.2588
5.4329 -5.6992 6.1400
Na Pm O
1 2 1
direct
0.0000 0.0000 0.0000
0.1208 0.1208 0.6377
0.8792 0.8792 0.3623
0.5000 0.5000 0.5000
```

=====

(6)
Entry from the Alexandria database: a relaxed structure of Na5PmO4 (GGA-PBE).

Properties
**Crystal system**: orthorhombic
**SG**: No. 71

The structure in POSCAR format:
```
Na5PmO4
1.0
-3.2918 -0.7703 -1.3098
-0.5567 -4.8322 4.2410
-0.7782 6.9368 2.8940
Pm Na O
1 5 4
direct
0.5000 0.0000 0.0000
0.8256 0.0601 0.6512
0.1743 0.4095 0.3487
0.8257 0.5905 0.6513
0.1744 0.9399 0.3488
0.5000 0.5000 0.0000
0.9999 0.2427 0.9999
0.6881 0.1883 0.3763
0.0001 0.7573 0.0001
0.3119 0.8117 0.6237
```

=====

Record-wise ρ values, in g/cm³: 4.8; 5.0; 7.4; 7.6; 4.9; 3.5
Record-wise formation energy from raw total energies values, in eV/atom: -1.8299; -1.4117; -3.0975; -2.8316; -1.1126; -1.7555